# ZrGa3O PBE optimized geometry
# ΔE_f (raw), eV/atom: -0.381
# Excess energy over the best structure of this formula in the dataset, kcal/mol of atoms: 0.000
# Total moment, μB per atom: 0.00
data_ZrGa3O
_chemical_formula_sum 'Zr1 Ga3 O1'
_space_group_name_H-M_alt 'P m -3 m'
_space_group_IT_number 221
_space_group_name_Hall '-P 4 2 3'
_cell_length_a 4.3354
_cell_length_b 4.3354
_cell_length_c 4.3354
_cell_angle_alpha 90.00
_cell_angle_beta 90.00
_cell_angle_gamma 90.00
loop_
_atom_site_label
_atom_site_type_symbol
_atom_site_fract_x
_atom_site_fract_y
_atom_site_fract_z
Zr1 Zr 0.0000 0.0000 0.0000
Ga1 Ga 0.0000 0.5000 0.5000
O1 O 0.5000 0.5000 0.5000